First-principles (PBE-GGA) data for a geometry-optimized BeHS structure, as listed in Alexandria.

```
data_BeHS
_symmetry_space_group_name_H-M 'C 1 m 1'
_symmetry_Int_Tables_number 8
_cell_length_a 9.673
_cell_length_b 3.468
_cell_length_c 5.889
_cell_angle_alpha 90.00
_cell_angle_beta 125.55
_cell_angle_gamma 90.00
loop_
_symmetry_equiv_pos_as_xyz
'x,y,z'
'x,-y,z'
'x+1/2,y+1/2,z'
'x+1/2,-y+1/2,z'
loop_
_atom_site_label
_atom_site_type_symbol
_atom_site_fract_x
_atom_site_fract_y
_atom_site_fract_z
Be1 Be 0.000 0.000 0.000
Be2 Be 0.137 0.500 0.610
H1 H 0.314 0.500 0.845
H2 H 0.365 0.500 0.447
S1 S 0.039 0.000 0.674
S2 S 0.102 0.500 0.231
```

Output
* final energy: -4.2816 eV/atom
* Fermi-level density of states: 0.0000 states/eV/atom